(1)
This record from Alexandria describes a relaxed structure of RbFeTeP2. The functional is PBE.

## Properties
Symmetry ... P4/mmm (123)
Energy relative to the elements, uncorrected ... 0.21 eV/atom
Final energy ... -4.4648 eV/atom

Cell: 4.5685 4.5685 5.6559 Å, 90.00 90.00 90.00°
Closest atoms and distances in Å follow each position.
Element x y z (fractional)
P  0.0000  0.5000  0.0000  2 Fe 2.28
P  0.5000  0.0000  0.0000  2 Fe 2.28
Te  0.0000  0.0000  0.5000  2 Fe 2.83
Fe  0.0000  0.0000  0.0000  4 P 2.28
Rb  0.5000  0.5000  0.5000  4 Te 3.23

(2)
This record from Alexandria describes a relaxed structure of TbNdAu. The functional is PBE.

## Properties
Symmetry ... F-43m (216)
DFT formation energy ... -390 meV per atom
Energy above the most stable polymorph in this dataset ... 0.55 eV/f.u.
Final energy ... -4.6154 eV/atom

Cell: 5.0677 5.0677 5.0677 Å, 60.00 60.00 60.00°
Closest atoms and distances in Å follow each position.
Element x y z (fractional)
Tb  0.0000  0.0000  0.0000  4 Au 3.10
Au  0.2500  0.2500  0.2500  4 Tb 3.10, 4 Nd 3.10
Nd  0.5000  0.5000  0.5000  4 Au 3.10

(3)
This record from Alexandria describes a relaxed structure of LaGeOs. The functional is PBE.

## Properties
Symmetry ... F-43m (216)
DFT formation energy ... 925 meV per atom
Final energy ... -6.0000 eV/atom

Cell: 4.7678 4.7678 4.7678 Å, 60.00 60.00 60.00°
Closest atoms and distances in Å follow each position.
Element x y z (fractional)
Ge  0.5000  0.5000  0.5000  4 La 2.92
Os  0.0000  0.0000  0.0000  4 La 2.92
La  0.7500  0.7500  0.7500  4 Ge 2.92, 4 Os 2.92

(4)
This record from Alexandria describes a relaxed structure of Tb2Pm2Dy. The functional is PBE.

## Properties
Symmetry ... I4/mmm (139)
DFT formation energy ... 367 meV per atom
Energy above the most stable polymorph in this dataset ... 1.73 eV/f.u.
Final energy ... -4.3054 eV/atom

Cell: 4.5856 4.5856 8.8577 Å, 105.00 105.00 90.00°
Closest atoms and distances in Å follow each position.
Element x y z (fractional)
Tb  0.4073  0.4073  0.8147  1 Tb 3.06
Tb  0.5927  0.5927  0.1853  1 Tb 3.06
Pm  0.7500  0.2500  0.5000  4 Pm 3.24, 4 Tb 3.46
Pm  0.2500  0.7500  0.5000  4 Pm 3.24, 4 Tb 3.46
Dy  0.0000  0.0000  0.0000  8 Tb 3.58

(5)
This record from Alexandria describes a relaxed structure of V2Ni2Pd. The functional is PBE.

## Properties
Symmetry ... P4/mbm (127)
DFT formation energy ... -145 meV per atom
Energy above the most stable polymorph in this dataset ... 0.00 eV/f.u.
Final energy ... -7.1440 eV/atom

Cell: 6.9146 6.9146 2.6812 Å, 90.00 90.00 90.00°
Closest atoms and distances in Å follow each position.
Element x y z (fractional)
Ni  0.3750  0.8750  0.0000  6 V 2.40-2.47, 3 Ni 2.45-2.68
Ni  0.8750  0.6250  0.0000  6 V 2.40-2.47, 3 Ni 2.45-2.68
Ni  0.6250  0.1250  0.0000  6 V 2.40-2.47, 3 Ni 2.45-2.68
Ni  0.1250  0.3750  0.0000  6 V 2.40-2.47, 3 Ni 2.45-2.68
Pd  0.0000  0.0000  0.0000  2 Pd 2.68, 4 Ni 2.73, 8 V 2.89
Pd  0.5000  0.5000  0.0000  2 Pd 2.68, 4 Ni 2.73, 8 V 2.89
V  0.1714  0.6714  0.5000  6 Ni 2.40-2.47, 2 V 2.68
V  0.6714  0.8286  0.5000  6 Ni 2.40-2.47, 2 V 2.68
V  0.8286  0.3286  0.5000  6 Ni 2.40-2.47, 2 V 2.68
V  0.3286  0.1714  0.5000  6 Ni 2.40-2.47, 2 V 2.68

(6)
This record from Alexandria describes a relaxed structure of KCd2. The functional is PBE.

## Properties
Symmetry ... Cmcm (63)
DFT formation energy ... 14 meV per atom
Final energy ... -0.9615 eV/atom

Cell: 8.9340 8.9340 6.0952 Å, 90.00 90.00 156.47°
Closest atoms and distances in Å follow each position.
Element x y z (fractional)
K  0.1061  0.8939  0.7500  10 Cd 3.59-3.63, 2 K 3.64
K  0.8939  0.1061  0.2500  10 Cd 3.59-3.63, 2 K 3.64
Cd  0.7853  0.2147  0.7500  2 Cd 3.11
Cd  0.4294  0.5706  0.7500  2 Cd 3.11
Cd  0.2147  0.7853  0.2500  2 Cd 3.11
Cd  0.5706  0.4294  0.2500  2 Cd 3.11

(7)
This record from Alexandria describes a relaxed structure of Sm14HoSc. The functional is PBE.

## Properties
Symmetry ... P4/mmm (123)
DFT formation energy ... 24 meV per atom
Final energy ... -4.7873 eV/atom

Cell: 7.2096 7.2096 10.1521 Å, 90.00 90.00 90.00°
Closest atoms and distances in Å follow each position.
Element x y z (fractional)
Sm  0.3749  0.6251  0.5000  12 Sm 3.60-3.64
Sm  0.8750  0.1250  0.5000  12 Sm 3.60-3.61
Sm  0.8748  0.6248  0.0000  8 Sm 3.57, 2 Sc 3.60-3.61, 2 Ho 3.60-3.61
Sm  0.8751  0.6251  0.5000  12 Sm 3.60-3.63
Sm  0.3752  0.1252  0.0000  8 Sm 3.57, 2 Sc 3.60-3.61, 2 Ho 3.60-3.61
Sm  0.3749  0.1249  0.5000  12 Sm 3.60-3.63
Sm  0.6268  0.8767  0.7539  1 Sc 3.56, 10 Sm 3.57-3.64, 1 Ho 3.58
Sm  0.6268  0.8767  0.2461  1 Sc 3.56, 10 Sm 3.57-3.64, 1 Ho 3.58
Sm  0.1233  0.3732  0.7539  1 Sc 3.56, 10 Sm 3.57-3.64, 1 Ho 3.58
Sm  0.1233  0.3732  0.2461  1 Sc 3.56, 10 Sm 3.57-3.64, 1 Ho 3.58
Sm  0.1232  0.8768  0.7542  1 Sc 3.55, 10 Sm 3.57-3.64, 1 Ho 3.58
Sm  0.1232  0.8768  0.2458  1 Sc 3.55, 10 Sm 3.57-3.64, 1 Ho 3.58
Sm  0.6269  0.3731  0.7537  1 Sc 3.56, 10 Sm 3.57-3.64, 1 Ho 3.58
Sm  0.6269  0.3731  0.2463  1 Sc 3.56, 10 Sm 3.57-3.64, 1 Ho 3.58
Ho  0.3750  0.6250  0.0000  12 Sm 3.58-3.61
Sc  0.8749  0.1251  0.0000  12 Sm 3.55-3.61

(8)
This record from Alexandria describes a relaxed structure of LaY3Ni. The functional is PBE.

## Properties
Symmetry ... Pm-3m (221)
DFT formation energy ... -94 meV per atom
Energy above the most stable polymorph in this dataset ... 0.00 eV/f.u.
Final energy ... -6.1146 eV/atom

Cell: 5.3783 5.3783 5.3783 Å, 90.00 90.00 90.00°
Closest atoms and distances in Å follow each position.
Element x y z (fractional)
Y  0.0000  0.5000  0.0000  2 Ni 2.69
Y  0.0000  0.0000  0.5000  2 Ni 2.69
Y  0.5000  0.0000  0.0000  2 Ni 2.69
Ni  0.0000  0.0000  0.0000  6 Y 2.69
La  0.5000  0.5000  0.5000  12 Y 3.80

(9)
This record from Alexandria describes a relaxed structure of Al4Fe3Ir. The functional is PBE.

## Properties
Symmetry ... Pmmm (47)
DFT formation energy ... -488 meV per atom
Final energy ... -6.6399 eV/atom

Cell: 2.9238 4.1216 8.2277 Å, 90.00 90.00 90.00°
Closest atoms and distances in Å follow each position.
Element x y z (fractional)
Ir  0.5000  0.5000  0.0000  8 Al 2.53-2.59
Al  0.0000  0.0000  0.5000  8 Fe 2.49-2.53
Al  0.0000  0.5000  0.7408  6 Fe 2.46-2.53, 2 Ir 2.59
Al  0.0000  0.0000  0.0000  4 Ir 2.53, 4 Fe 2.56
Al  0.0000  0.5000  0.2592  6 Fe 2.46-2.53, 2 Ir 2.59
Fe  0.5000  0.0000  0.2550  8 Al 2.49-2.56
Fe  0.5000  0.5000  0.5000  8 Al 2.46-2.53
Fe  0.5000  0.0000  0.7450  8 Al 2.49-2.56

(10)
This record from Alexandria describes a relaxed structure of Sc2Cu2O5. The functional is PBE.

## Properties
Symmetry ... Pna2_1 (33)
Energy relative to the elements, uncorrected ... -2.17 eV/atom
Energy above the most stable polymorph in this dataset ... 0.00 eV/f.u.
Final energy ... -7.2380 eV/atom

Cell: 3.2485 10.5559 12.1228 Å, 90.00 90.00 90.00°
Closest atoms and distances in Å follow each position.
Element x y z (fractional)
Sc  0.7796  0.7897  0.0005  6 O 2.09-2.21
Sc  0.2204  0.2103  0.5005  6 O 2.09-2.21
Sc  0.7204  0.2897  0.0005  6 O 2.09-2.21
Sc  0.2796  0.7103  0.5005  6 O 2.09-2.21
Sc  0.7790  0.9605  0.3304  6 O 2.09-2.21
Sc  0.2210  0.0395  0.8304  6 O 2.09-2.21
Sc  0.7210  0.4605  0.3304  6 O 2.09-2.21
Sc  0.2790  0.5395  0.8304  6 O 2.09-2.21
Cu  0.3428  0.0100  0.1095  4 O 1.94-1.99
Cu  0.6572  0.9900  0.6095  4 O 1.94-1.99
Cu  0.1572  0.5100  0.1095  4 O 1.94-1.99
Cu  0.8428  0.4900  0.6095  4 O 1.94-1.99
Cu  0.3488  0.7399  0.2211  4 O 1.94-2.00
Cu  0.6512  0.2601  0.7211  4 O 1.94-2.00
Cu  0.1512  0.2399  0.2211  4 O 1.94-2.00
Cu  0.8488  0.7601  0.7211  4 O 1.94-2.00
O  0.2708  0.9192  0.9667  1 Cu 1.99, 3 Sc 2.09-2.18
O  0.7292  0.0808  0.4667  1 Cu 1.99, 3 Sc 2.09-2.18
O  0.2292  0.4192  0.9667  1 Cu 1.99, 3 Sc 2.09-2.18
O  0.7708  0.5808  0.4667  1 Cu 1.99, 3 Sc 2.09-2.18
O  0.7203  0.9326  0.7653  2 Cu 1.94-1.99, 2 Sc 2.13
O  0.2797  0.0674  0.2653  2 Cu 1.94-1.99, 2 Sc 2.13
O  0.7797  0.4326  0.7653  2 Cu 1.94-1.99, 2 Sc 2.13
O  0.2203  0.5674  0.2653  2 Cu 1.94-1.99, 2 Sc 2.13
O  0.2036  0.6245  0.6653  2 Cu 1.96
O  0.7964  0.3755  0.1653  2 Cu 1.96
O  0.2964  0.1245  0.6653  2 Cu 1.96
O  0.7036  0.8755  0.1653  2 Cu 1.96
O  0.7847  0.8175  0.5652  2 Cu 1.94-2.00, 2 Sc 2.12-2.14
O  0.2153  0.1825  0.0652  2 Cu 1.94-2.00, 2 Sc 2.12-2.14
O  0.7153  0.3175  0.5652  2 Cu 1.94-2.00, 2 Sc 2.12-2.14
O  0.2847  0.6825  0.0652  2 Cu 1.94-2.00, 2 Sc 2.12-2.14
O  0.2817  0.8308  0.3640  1 Cu 1.99, 3 Sc 2.09-2.17
O  0.7183  0.1692  0.8640  1 Cu 1.99, 3 Sc 2.09-2.17
O  0.2183  0.3308  0.3640  1 Cu 1.99, 3 Sc 2.09-2.17
O  0.7817  0.6692  0.8640  1 Cu 1.99, 3 Sc 2.09-2.17